(1)
AlMoCl2 after structural relaxation. Source: Alexandria, functional PBE.

Output
The density of states at the Fermi level is 0.585 states/eV per atom. Its energy above the most stable polymorph in this dataset is 0.5271 eV/atom. The calculation puts the total energy at -4.440 eV per atom. As for the uncorrected formation energy: 127 meV per atom.

Unit cell a=2.989 b=4.341 c=5.409 alpha=90.00 beta=96.48 gamma=90.00
Space group P2/m (No. 10)
Unique sites:
Al1 0.000 0.000 0.000 (multiplicity 1)
Mo1 0.500 0.000 0.500 (multiplicity 1)
Cl1 0.343 0.500 0.254 (multiplicity 2)



(2)
AlMoCl3 after structural relaxation. Source: Alexandria, functional PBE.

Output
The density of states at the Fermi level is 0.292 states/eV per atom. Its energy above the most stable polymorph in this dataset is 0.2713 eV/atom. The calculation puts the total energy at -3.927 eV per atom. As for the uncorrected formation energy: 96 meV per atom.

Unit cell a=4.921 b=4.921 c=4.921 alpha=90.00 beta=90.00 gamma=90.00
Space group Pm-3m (No. 221)
Unique sites:
Al1 0.000 0.000 0.000 (multiplicity 1)
Mo1 0.500 0.500 0.500 (multiplicity 1)
Cl1 0.000 0.000 0.500 (multiplicity 3)



(3)
AlMoCl2 after structural relaxation. Source: Alexandria, functional PBE.

Output
The density of states at the Fermi level is 0.558 states/eV per atom. Its energy above the most stable polymorph in this dataset is 0.1967 eV/atom. The calculation puts the total energy at -4.770 eV per atom. As for the uncorrected formation energy: -204 meV per atom.

Unit cell a=9.502 b=3.010 c=7.347 alpha=90.00 beta=103.93 gamma=90.00
Space group Cm (No. 8)
Unique sites:
Al1 0.000 0.000 0.000 (multiplicity 2)
Mo1 0.246 0.500 0.079 (multiplicity 2)
Cl1 0.150 0.000 0.788 (multiplicity 2)
Cl2 0.327 0.000 0.342 (multiplicity 2)



(4)
AlMoCl2 after structural relaxation. Source: Alexandria, functional PBE.

Output
The density of states at the Fermi level is 0.709 states/eV per atom. Its energy above the most stable polymorph in this dataset is 0.6428 eV/atom. The calculation puts the total energy at -4.324 eV per atom. As for the uncorrected formation energy: 243 meV per atom.

Unit cell a=5.886 b=8.802 c=3.242 alpha=90.00 beta=120.31 gamma=90.00
Space group C2/m (No. 12)
Unique sites:
Al1 0.000 0.000 0.000 (multiplicity 2)
Mo1 0.000 0.500 0.000 (multiplicity 2)
Cl1 0.250 0.250 0.000 (multiplicity 4)



(5)
AlMoCl3 after structural relaxation. Source: Alexandria, functional PBE.

Output
The density of states at the Fermi level is 0.277 states/eV per atom. Its energy above the most stable polymorph in this dataset is 0.0000 eV/atom. The calculation puts the total energy at -4.198 eV per atom. As for the uncorrected formation energy: -176 meV per atom.

Unit cell a=5.119 b=5.119 c=5.119 alpha=90.00 beta=90.00 gamma=90.00
Space group Pm-3m (No. 221)
Unique sites:
Al1 0.000 0.000 0.000 (multiplicity 1)
Mo1 0.500 0.500 0.500 (multiplicity 1)
Cl1 0.000 0.500 0.500 (multiplicity 3)



(6)
AlMoCl2 after structural relaxation. Source: Alexandria, functional PBE.

Output
The density of states at the Fermi level is 0.487 states/eV per atom. Its energy above the most stable polymorph in this dataset is 0.3355 eV/atom. The calculation puts the total energy at -4.631 eV per atom. As for the uncorrected formation energy: -65 meV per atom.

Unit cell a=3.0825 b=3.0825 c=34.1953 alpha=90.00 beta=90.00 gamma=120.00
Space group R-3m (No. 166, hexagonal axes)
Unique sites:
Al1 0.0000 0.0000 0.0000 (multiplicity 3)
Mo1 0.0000 0.0000 0.5000 (multiplicity 3)
Cl1 0.0000 0.0000 0.1159 (multiplicity 6)



(7)
AlMoCl2 after structural relaxation. Source: Alexandria, functional PBE.

Output
The density of states at the Fermi level is 0.678 states/eV per atom. Its energy above the most stable polymorph in this dataset is 0.3898 eV/atom. The calculation puts the total energy at -4.577 eV per atom. As for the uncorrected formation energy: -10 meV per atom.

Unit cell a=3.019 b=8.119 c=9.707 alpha=90.00 beta=90.00 gamma=90.00
Space group Imm2 (No. 44)
Unique sites:
Al1 0.000 0.000 0.000 (multiplicity 2)
Mo1 0.000 0.500 0.721 (multiplicity 2)
Cl1 0.000 0.000 0.410 (multiplicity 2)
Cl2 0.000 0.500 0.315 (multiplicity 2)



(8)
AlMoCl2 after structural relaxation. Source: Alexandria, functional PBE.

Output
The density of states at the Fermi level is 0.682 states/eV per atom. Its energy above the most stable polymorph in this dataset is 0.0000 eV/atom. The calculation puts the total energy at -4.967 eV per atom. As for the uncorrected formation energy: -400 meV per atom.

Unit cell a=3.852 b=3.103 c=7.829 alpha=90.00 beta=98.41 gamma=90.00
Space group Pm (No. 6)
Unique sites:
Al1 0.000 0.000 0.000 (multiplicity 1)
Mo1 0.542 0.500 0.127 (multiplicity 1)
Cl1 0.248 0.500 0.804 (multiplicity 1)
Cl2 0.635 0.000 0.365 (multiplicity 1)